# 1
# Ba3Sn2Pb9, optimized geometry, DFT GGA-PBE
# - total magnetic moment (μB/cell) = 0.00
# - raw total energy (eV for the cell shown) = -51.3
# - energy of formation (eV/atom) = -0.2969
# - N(E_F) (states/eV per cell) = 6.0
data_Ba3Sn2Pb9
_chemical_formula_sum 'Ba3 Sn2 Pb9'
_cell_length_a 5.465
_cell_length_b 10.046
_cell_length_c 10.046
_cell_angle_alpha 73.16
_cell_angle_beta 74.22
_cell_angle_gamma 74.22
_space_group_name_H-M_alt 'P 1'
_space_group_IT_number 1
loop_
_space_group_symop_operation_xyz
'x,y,z'
loop_
_atom_site_label
_atom_site_type_symbol
_atom_site_fract_x
_atom_site_fract_y
_atom_site_fract_z
Sn1 Sn 0.500 0.686 0.314
Sn2 Sn 0.500 0.314 0.686
Pb1 Pb 0.856 0.865 0.423
Pb2 Pb 0.649 0.716 0.986
Pb3 Pb 0.649 0.986 0.716
Pb4 Pb 0.144 0.135 0.577
Pb5 Pb 0.351 0.014 0.284
Pb6 Pb 0.000 0.500 0.500
Pb7 Pb 0.856 0.423 0.865
Pb8 Pb 0.144 0.577 0.135
Pb9 Pb 0.351 0.284 0.014
Ba1 Ba 0.693 0.307 0.307
Ba2 Ba 0.000 0.000 0.000
Ba3 Ba 0.307 0.693 0.693

# 2
# CePrN, optimized geometry, DFT GGA-PBE
# - total magnetic moment (μB/cell) = 0.49
# - excess energy over the best structure of this formula in the dataset (meV per atom) = 490
# - formation energy without anion corrections (eV/atom) = -0.35
# - raw total energy (eV for the cell shown) = -20.1
# - N(E_F) (states/eV per cell) = 4.0
data_CePrN
_chemical_formula_sum 'Ce1 Pr1 N1'
_cell_length_a 4.387
_cell_length_b 4.387
_cell_length_c 4.387
_cell_angle_alpha 60.00
_cell_angle_beta 60.00
_cell_angle_gamma 60.00
_space_group_name_H-M_alt 'P 1'
_space_group_IT_number 1
loop_
_space_group_symop_operation_xyz
'x,y,z'
loop_
_atom_site_label
_atom_site_type_symbol
_atom_site_fract_x
_atom_site_fract_y
_atom_site_fract_z
Ce1 Ce 0.000 0.000 0.000
N1 N 0.250 0.250 0.250
Pr1 Pr 0.500 0.500 0.500

# 3
# SrMgZr2, optimized geometry, DFT GGA-PBE
# - total magnetic moment (μB/cell) = 0.35
# - raw total energy (eV for the cell shown) = -18.7
# - energy of formation (eV/atom) = 0.4294
# - N(E_F) (states/eV per cell) = 5.1
data_SrMgZr2
_chemical_formula_sum 'Sr1 Mg1 Zr2'
_cell_length_a 6.633
_cell_length_b 6.633
_cell_length_c 6.633
_cell_angle_alpha 151.24
_cell_angle_beta 126.39
_cell_angle_gamma 61.98
_space_group_name_H-M_alt 'P 1'
_space_group_IT_number 1
loop_
_space_group_symop_operation_xyz
'x,y,z'
loop_
_atom_site_label
_atom_site_type_symbol
_atom_site_fract_x
_atom_site_fract_y
_atom_site_fract_z
Zr1 Zr 0.972 0.972 0.000
Zr2 Zr 0.756 0.256 0.500
Mg1 Mg 0.518 0.518 0.000
Sr1 Sr 0.254 0.754 0.500